1.
Below is an optimized crystal structure of SrCeZn10, with properties calculated at the PBE level.

- calculated total energy (eV per formula unit) = -23.1
- formation energy (eV per atom) = -0.227
- space group = Pmmm (47)

a = 4.273 Å, b = 5.443 Å, c = 9.438 Å
α = 90.00°, β = 90.00°, γ = 90.00°
Each line ends with the local moment (μB).
Positions (direct):
Sr  0.000  0.000  0.000  0.00
Ce  0.000  0.500  0.500  0.64
Zn  0.000  0.000  0.334  0.00
Zn  0.000  0.500  0.832  0.00
Zn  0.000  0.500  0.168  0.00
Zn  0.000  0.000  0.666  0.00
Zn  0.500  0.000  0.500  0.00
Zn  0.500  0.500  0.000  0.00
Zn  0.500  0.257  0.261  0.00
Zn  0.500  0.743  0.739  0.00
Zn  0.500  0.743  0.261  0.00
Zn  0.500  0.257  0.739  0.00

2.
Below is an optimized crystal structure of V6PtN, with properties calculated at the PBE level.

- formation energy from raw total energies (kcal/mol of atoms) = -10.79
- calculated total energy (eV per formula unit) = -72.8
- space group = P-1 (2)

a = 4.400 Å, b = 5.019 Å, c = 5.008 Å
α = 83.10°, β = 92.33°, γ = 69.20°
Positions (direct):
V  0.070  0.341  0.800
V  0.804  0.921  0.652
V  0.586  0.241  0.086
V  0.196  0.079  0.348
V  0.930  0.659  0.200
V  0.414  0.759  0.914
Pt  0.500  0.500  0.500
N  0.000  0.000  0.000

3.
Below is an optimized crystal structure of NbI3Br, with properties calculated at the PBE level.

- formation energy from raw total energies (kcal/mol of atoms) = -11.51
- offset from the most stable computed form (meV/atom) = 0.0
- calculated total energy (eV per formula unit) = -18.9
- space group = Pnma (62)

a = 7.034 Å, b = 7.555 Å, c = 14.994 Å
α = 90.00°, β = 90.00°, γ = 90.00°
Each line ends with the local moment (μB).
Positions (direct):
Nb  0.000  0.000  0.500  0.34
Nb  0.500  0.500  0.000  0.34
Nb  0.500  0.000  0.000  0.34
Nb  0.000  0.500  0.500  0.34
I  0.288  0.999  0.849  -0.02
I  0.212  0.499  0.349  -0.02
I  0.212  0.001  0.349  -0.02
I  0.712  0.499  0.151  -0.02
I  0.712  0.001  0.151  -0.02
I  0.788  0.501  0.651  -0.02
I  0.788  0.999  0.651  -0.02
I  0.288  0.501  0.849  -0.02
I  0.755  0.250  0.921  0.01
I  0.745  0.750  0.421  0.01
I  0.245  0.750  0.079  0.01
I  0.255  0.250  0.579  0.01
Br  0.776  0.250  0.431  0.01
Br  0.724  0.750  0.931  0.01
Br  0.224  0.750  0.569  0.01
Br  0.276  0.250  0.069  0.01

What is the calculated total energy in the first record? -23.1 eV per formula unit

What is the calculated total energy in the third record? -18.9 eV per formula unit

Look up the calculated total energy of the first one. -23.1 eV per formula unit

The lowest calculated total energy belongs to which entry? V6PtN